(P)
An optimized crystal structure of LaCrRu2, computed with PBE.

Cell: 3.1252 3.1252 7.3200 Å, 90.00 90.00 90.00°
Fractional coordinates of all 4 atoms:
Cr 0.0000 0.0000 0.4160
La 0.5000 0.5000 0.7561
Ru 0.0000 0.0000 0.0540
Ru 0.5000 0.5000 0.2739

=====

(Q)
An optimized crystal structure of LaCrRu2, computed with PBE.

Cell: 9.6075 9.6075 9.6075 Å, 17.13 17.13 17.13°
Fractional coordinates of all 4 atoms:
Cr 0.5126 0.5126 0.5126
La 0.7525 0.7525 0.7525
Ru 0.9883 0.9883 0.9883
Ru 0.2466 0.2466 0.2466

=====

(P) (320 meV/atom below the next structure)